Record 1
Computed, not measured: a geometry-optimized TbDy6 structure at the PBE-GGA level of DFT.

## Properties
Magnetic moment (μB per atom): 0.00
Formation energy from the elements (eV per atom): 1.47
Offset from the most stable computed form (kcal/mol of atoms): 27.87
Final energy (eV per atom): -3.132
Symmetry: Im-3m, No. 229
Volume (Å³/cell): 510.97

Cell and atoms, written as extended XYZ:
```
14
Lattice="7.9946 0.0000 0.0000 0.0000 7.9946 0.0000 0.0000 0.0000 7.9946" Properties=species:S:1:pos:R:3 pbc="T T T"
Tb 0.0000 0.0000 0.0000
Tb 3.9973 3.9973 3.9973
Dy 0.0000 1.9987 3.9973
Dy 0.0000 3.9973 1.9987
Dy 0.0000 3.9973 5.9960
Dy 0.0000 5.9960 3.9973
Dy 1.9987 0.0000 3.9973
Dy 1.9987 3.9973 0.0000
Dy 3.9973 0.0000 1.9987
Dy 3.9973 0.0000 5.9960
Dy 3.9973 1.9987 0.0000
Dy 3.9973 5.9960 0.0000
Dy 5.9960 0.0000 3.9973
Dy 5.9960 3.9973 0.0000
```

Record 2
Computed, not measured: a geometry-optimized KTl4Cd3F12 structure at the PBE-GGA level of DFT.

## Properties
Magnetic moment (μB per atom): 0.05
Energy relative to the elements, uncorrected (eV per atom): -1.9675
Final energy (eV per atom): -3.756
Symmetry: Im-3m, No. 229
Volume (Å³/cell): 382.06

Cell and atoms, written as extended XYZ:
```
20
Lattice="-4.5712 4.5712 4.5712 4.5712 -4.5712 4.5712 4.5712 4.5712 -4.5712" Properties=species:S:1:pos:R:3 pbc="T T T"
K 0.0000 0.0000 0.0000
Tl 2.2856 2.2856 -2.2856
Tl 2.2856 -2.2856 2.2856
Tl -2.2856 2.2856 2.2856
Tl 2.2856 2.2856 2.2856
Cd 4.5712 0.0000 0.0000
Cd 0.0000 4.5712 0.0000
Cd 0.0000 0.0000 4.5712
F 2.4624 0.0000 0.0000
F 6.6799 0.0000 0.0000
F 4.5712 2.2856 0.0000
F 4.5712 0.0000 2.2856
F 0.0000 2.4624 0.0000
F 0.0000 0.0000 2.4624
F 2.2856 4.5712 0.0000
F 2.2856 0.0000 4.5712
F 0.0000 6.6799 0.0000
F 0.0000 0.0000 6.6799
F 0.0000 4.5712 2.2856
F 0.0000 2.2856 4.5712
```

Record 3
Computed, not measured: a geometry-optimized CaPmSnPd structure at the PBE-GGA level of DFT.

## Properties
Magnetic moment (μB per atom): 0.00
Formation energy from the elements (eV per atom): -0.69
Final energy (eV per atom): -4.677
Symmetry: F-43m, No. 216
Volume (Å³/cell): 409.39

Cell and atoms, written as extended XYZ:
```
16
Lattice="7.4253 0.0000 0.0000 0.0000 7.4253 0.0000 0.0000 0.0000 7.4253" Properties=species:S:1:pos:R:3 pbc="T T T"
Ca 0.0000 0.0000 0.0000
Ca 0.0000 3.7126 3.7126
Ca 3.7126 0.0000 3.7126
Ca 3.7126 3.7126 0.0000
Pm 0.0000 0.0000 3.7126
Pm 0.0000 3.7126 0.0000
Pm 3.7126 0.0000 0.0000
Pm 3.7126 3.7126 3.7126
Sn 1.8563 1.8563 5.5690
Sn 1.8563 5.5690 1.8563
Sn 5.5690 1.8563 1.8563
Sn 5.5690 5.5690 5.5690
Pd 1.8563 1.8563 1.8563
Pd 1.8563 5.5690 5.5690
Pd 5.5690 1.8563 5.5690
Pd 5.5690 5.5690 1.8563
```

Record 4
Computed, not measured: a geometry-optimized LiMg14B structure at the PBE-GGA level of DFT.

## Properties
Magnetic moment (μB per atom): 0.00
Formation energy from the elements (eV per atom): 0.17
Offset from the most stable computed form (kcal/mol of atoms): 0.46
Final energy (eV per atom): -1.766
Symmetry: P-6m2, No. 187
Volume (Å³/cell): 337.51

Cell and atoms, written as extended XYZ:
```
16
Lattice="6.2789 0.0000 0.0000 -3.1394 5.4376 0.0000 0.0000 0.0000 9.8854" Properties=species:S:1:pos:R:3 pbc="T T T"
Li 0.0000 0.0000 0.0000
Mg -1.5436 2.7339 0.0000
Mg 0.0000 1.7372 2.6322
Mg 0.0000 1.7372 7.2532
Mg -1.6350 4.5690 2.6322
Mg -1.6350 4.5690 7.2532
Mg 1.5436 2.7339 0.0000
Mg 0.0000 5.4075 0.0000
Mg 3.1394 0.0451 4.9427
Mg 1.6088 2.6963 4.9427
Mg 3.1394 1.8125 2.4474
Mg 3.1394 1.8125 7.4380
Mg 1.6350 4.5690 2.6322
Mg 1.6350 4.5690 7.2532
Mg 4.6701 2.6963 4.9427
B 0.0000 0.0000 4.9427
```